(a)
Zn2Ag2Sb | PBE | relaxed

- theoretical density (g/cm3) = 8.228
- space-group type = P4/mbm (127)
- DOS(E_F) (states/eV/atom) = 0.40

a b c (Å): 8.000 8.000 2.953
angles (deg): 90.00 90.00 90.00
Sites, in units of the cell vectors:
1 Ag 0.367 0.867 0.000
2 Sb 0.500 0.500 0.000
3 Zn 0.336 0.164 0.500
4 Ag 0.633 0.133 0.000
5 Zn 0.664 0.836 0.500
6 Ag 0.867 0.633 0.000
7 Sb 0.000 0.000 0.000
8 Ag 0.133 0.367 0.000
9 Zn 0.836 0.336 0.500
10 Zn 0.164 0.664 0.500

(b)
Zn2Ag2Sb | PBE | relaxed

- theoretical density (g/cm3) = 7.878
- space-group type = I4/mmm (139)
- DOS(E_F) (states/eV/atom) = 0.36

a b c (Å): 3.954 3.954 6.905
angles (deg): 73.36 73.36 90.00
Sites, in units of the cell vectors:
1 Zn 0.598 0.598 0.803
2 Ag 0.750 0.250 0.500
3 Sb 0.000 0.000 0.000
4 Zn 0.402 0.402 0.197
5 Ag 0.250 0.750 0.500

Most stable one: (a), least stable one: (b).